# 1
6
Lattice="4.044 0.000 -0.004 0.000 4.035 0.000 -2.029 0.000 6.434" Properties=species:S:1:pos:R:3 comment="PBE-GGA USiPt, relaxed" dos_at_fermi_per_ev_cell=8.17 e_form_raw_kj_per_mol_atoms=-61 sg="No. 11" total_magnetization_mub_per_cell=1.4 pbc="T T T"
U 0.006 3.017 0.781
U 2.033 1.000 5.669
Pt 0.008 1.000 3.462
Pt 2.031 3.017 2.989
Si 0.010 3.017 4.882
Si 2.028 1.000 1.568

=====

# 2
10
Lattice="-0.707 0.594 3.426 -1.895 -2.998 0.129 14.883 -9.207 4.666" Properties=species:S:1:pos:R:3 comment="PBE-GGA Er5Zn4Cd, relaxed" dos_at_fermi_per_ev_cell=10.07 sg="No. 123" total_magnetization_mub_per_cell=0.0 formation_enthalpy_0k_ev_per_atom=-0.34 pbc="T T T"
Er 11.905 -9.371 5.918
Er 3.251 -4.017 3.205
Er 9.030 -7.592 5.017
Er 6.141 -5.805 4.111
Er 0.376 -2.239 2.304
Zn 5.995 -3.709 1.880
Zn 8.888 -5.498 2.787
Zn 3.096 -1.915 0.971
Zn 11.787 -7.292 3.696
Cd 0.000 0.000 0.000